# 1
Here is crystalline Sc2Tl2Se at its relaxed geometry from the Alexandria database. Energies are from GGA-PBE.

Structure (POSCAR):
```
Sc2Tl2Se
1.0
7.0812 0.0000 0.0000
0.0000 7.0812 0.0000
0.0000 0.0000 4.8818
Sc Tl Se
4 4 2
direct
0.1641 0.3359 0.0000
0.3359 0.8359 0.0000
0.6641 0.1641 0.0000
0.8359 0.6641 0.0000
0.1528 0.6528 0.5000
0.3472 0.1528 0.5000
0.6528 0.8472 0.5000
0.8472 0.3472 0.5000
0.0000 0.0000 0.0000
0.5000 0.5000 0.0000
```

Properties
- SG: No. 127
- Volume: 24.5 A^3/atom
- E_form (uncorrected): -0.646 eV/atom
- Calculated density: 7.84 g cm⁻³
- Uncorrected energy: -4.822 eV per atom

***

# 2
Here is crystalline Cs6K2Au3O at its relaxed geometry from the Alexandria database. Energies are from GGA-PBE.

Structure (POSCAR):
```
Cs6K2Au3O
1.0
8.7610 -4.6587 0.0000
8.7610 4.6587 0.0000
-0.5443 0.0000 8.1778
Cs K Au O
6 2 3 1
direct
0.1295 0.1295 0.7921
0.1544 0.6961 0.7925
0.3039 0.8456 0.2075
0.6961 0.1544 0.7925
0.8456 0.3039 0.2075
0.8705 0.8705 0.2079
0.3259 0.3259 0.2739
0.6741 0.6741 0.7261
0.0000 0.5000 0.0000
0.5000 0.0000 0.0000
0.5000 0.5000 0.5000
0.0000 0.0000 0.0000
```

Properties
- SG: No. 12
- Volume: 55.6 A^3/atom
- E_form (uncorrected): -0.393 eV/atom
- Calculated density: 3.69 g cm⁻³
- Uncorrected energy: -2.235 eV per atom

***

- Which value of E_form (uncorrected) does entry 2 give?
  -0.393 eV/atom

***

- The highest calculated density belongs to which entry?
  Sc2Tl2Se

***

- What is the E_form (uncorrected) in the second record?
  -0.393 eV/atom

***

- Among the records above, which one has the highest volume?
  Cs6K2Au3O